5
Lattice="4.474 0.000 0.000 0.000 4.474 0.000 0.000 0.000 4.474" Properties=species:S:1:pos:R:3 comment="Hf3AuF (PBE-GGA, optimized geometry)" space_group="Pm-3m (221)" e_tot_ev_per_atom=-7.469 formation_energy_uncorrected_ev_per_atom=-0.467 magmom_total_mub_per_cell=0.0 relative_energy_ev_per_fu=0.00 pbc="T T T"
Hf 0.000 0.000 2.237
Hf 0.000 2.237 0.000
Hf 2.237 0.000 0.000
Au 2.237 2.237 2.237
F 0.000 0.000 0.000